# NaMoAu3Se4

Crystalline NaMoAu3Se4 at its relaxed geometry (PBE, OQMD).

abc: 6.2941 6.2941 6.2941
angles: 90.00 90.00 90.00
Last column: nearest neighbours and their distance in Å.
Atoms (fractional coordinates):
Au 0.5000 0.5000 0.0000  4 Se 2.65
Se 0.7279 0.7279 0.2721  1 Mo 2.48, 3 Au 2.65
Se 0.2721 0.2721 0.2721  1 Mo 2.48, 3 Au 2.65
Au 0.0000 0.5000 0.5000  4 Se 2.65
Se 0.7279 0.2721 0.7279  1 Mo 2.48, 3 Au 2.65
Na 0.0000 0.0000 0.0000  4 Se 2.97
Mo 0.5000 0.5000 0.5000  4 Se 2.48
Au 0.5000 0.0000 0.5000  4 Se 2.65
Se 0.2721 0.7279 0.7279  1 Mo 2.48, 3 Au 2.65

Output
- space group = P-43m, No. 215
- uncorrected energy (eV per atom) = -4.152

***

# AlHgBi

Crystalline AlHgBi at its relaxed geometry (PBE, OQMD).

abc: 5.0523 5.0523 5.0523
angles: 60.00 60.00 60.00
Last column: nearest neighbours and their distance in Å.
Atoms (fractional coordinates):
Bi 0.0000 0.0000 0.0000  4 Al 3.09, 4 Hg 3.09
Hg 0.7500 0.7500 0.7500  4 Bi 3.09
Al 0.2500 0.2500 0.2500  4 Bi 3.09

Output
- space group = F-43m, No. 216
- uncorrected energy (eV per atom) = -2.417

***

# HfZrGaCu

Crystalline HfZrGaCu at its relaxed geometry (PBE, OQMD).

abc: 4.7195 4.7195 4.7195
angles: 60.00 60.00 60.00
Last column: nearest neighbours and their distance in Å.
Atoms (fractional coordinates):
Cu 0.7500 0.7500 0.7500  4 Hf 2.89, 4 Ga 2.89
Zr 0.2500 0.2500 0.2500  4 Hf 2.89, 4 Ga 2.89
Ga 0.0000 0.0000 0.0000  4 Cu 2.89, 4 Zr 2.89
Hf 0.5000 0.5000 0.5000  4 Cu 2.89, 4 Zr 2.89

Output
- space group = F-43m, No. 216
- excess energy over the best structure of this formula in the dataset (meV/atom) = 0.0

***

# MgCuBi

Crystalline MgCuBi at its relaxed geometry (PBE, OQMD).

abc: 7.4583 7.4583 3.9957
angles: 90.00 90.00 120.00
Last column: nearest neighbours and their distance in Å.
Atoms (fractional coordinates):
Bi 0.0000 0.2780 0.0000  4 Cu 2.72-2.88
Mg 0.6041 0.0000 0.5000  5 Cu 2.95-3.04, 6 Bi 3.15-3.30
Bi 0.7220 0.7220 0.0000  4 Cu 2.72-2.88
Mg 0.0000 0.6041 0.5000  5 Cu 2.95-3.04, 6 Bi 3.15-3.30
Cu 0.3333 0.6667 0.0000  3 Bi 2.72, 6 Mg 3.04
Cu 0.6667 0.3333 0.0000  3 Bi 2.72, 6 Mg 3.04
Mg 0.3959 0.3959 0.5000  5 Cu 2.95-3.04, 6 Bi 3.15-3.30
Bi 0.2780 0.0000 0.0000  4 Cu 2.72-2.88
Cu 0.0000 0.0000 0.5000  6 Bi 2.88, 3 Mg 2.95

Output
- space group = P-62m, No. 189
- uncorrected energy (eV per atom) = -3.116

***

# NaMgIrW

Crystalline NaMgIrW at its relaxed geometry (PBE, OQMD).

abc: 4.5103 4.5103 4.5103
angles: 60.00 60.00 60.00
Last column: nearest neighbours and their distance in Å.
Atoms (fractional coordinates):
Mg 0.5000 0.5000 0.5000  4 W 2.76, 4 Na 2.76
Na 0.7500 0.7500 0.7500  4 Ir 2.76, 4 Mg 2.76
Ir 0.0000 0.0000 0.0000  4 Na 2.76, 4 W 2.76
W 0.2500 0.2500 0.2500  4 Mg 2.76, 4 Ir 2.76

Output
- space group = F-43m, No. 216
- excess energy over the best structure of this formula in the dataset (meV/atom) = 140.1

***

# ReN2

Crystalline ReN2 at its relaxed geometry (PBE, OQMD).

abc: 4.9406 4.9406 4.9406
angles: 90.00 90.00 90.00
Last column: nearest neighbours and their distance in Å.
Atoms (fractional coordinates):
N 0.1455 0.8545 0.3545  3 Re 2.03
N 0.8545 0.1455 0.6455  3 Re 2.03
N 0.8545 0.3545 0.1455  3 Re 2.03
Re 0.5000 0.0000 0.5000  6 N 2.03
Re 0.0000 0.0000 0.0000  6 N 2.03
N 0.6455 0.6455 0.6455  3 Re 2.03
N 0.1455 0.6455 0.8545  3 Re 2.03
N 0.6455 0.8545 0.1455  3 Re 2.03
Re 0.5000 0.5000 0.0000  6 N 2.03
N 0.3545 0.3545 0.3545  3 Re 2.03
N 0.3545 0.1455 0.8545  3 Re 2.03
Re 0.0000 0.5000 0.5000  6 N 2.03

Output
- space group = Pa-3, No. 205
- uncorrected energy (eV per atom) = -8.989